Entry 1:
# VSO5 | Alexandria | GGA-PBEsol | relaxed
data_VSO5
_chemical_formula_sum 'V2 S2 O10'
_cell_length_a 6.250
_cell_length_b 6.250
_cell_length_c 4.033
_cell_angle_alpha 90.00
_cell_angle_beta 90.00
_cell_angle_gamma 90.00
_space_group_name_H-M_alt 'P 4/n'
_space_group_IT_number 85
loop_
_space_group_symop_operation_xyz
'x,y,z'
'-x,-y,-z'
'-y+1/2,x,z'
'y+1/2,-x,-z'
'-x+1/2,-y+1/2,z'
'x+1/2,y+1/2,-z'
'y,-x+1/2,z'
'-y,x+1/2,-z'
loop_
_atom_site_label
_atom_site_fract_x
_atom_site_fract_y
_atom_site_fract_z
V1 0.250 0.250 0.124
S1 0.250 0.750 0.000
O1 0.061 0.717 0.784
O2 0.250 0.250 0.726
# Crystal system: tetragonal
# Total DFT energy (no corrections) in eV per atom: -7.48
# E_form (uncorrected) in meV/atom: -1730
# M_tot in μB/cell: 2.0
# Energy above the lowest structure with this stoichiometry in meV per atom: 21.5

***

Entry 2:
# RbScS2Cl | Alexandria | GGA-PBEsol | relaxed
data_RbScS2Cl
_chemical_formula_sum 'Rb1 Sc1 S2 Cl1'
_cell_length_a 4.903
_cell_length_b 4.903
_cell_length_c 5.213
_cell_angle_alpha 90.00
_cell_angle_beta 90.00
_cell_angle_gamma 90.00
_space_group_name_H-M_alt 'P 4/m m m'
_space_group_IT_number 123
_space_group_name_Hall '-P 4 2'
loop_
_atom_site_label
_atom_site_fract_x
_atom_site_fract_y
_atom_site_fract_z
Rb1 0.000 0.000 0.000
Sc1 0.500 0.500 0.500
S1 0.000 0.500 0.500
Cl1 0.500 0.500 0.000
# Crystal system: tetragonal
# Total DFT energy (no corrections) in eV per atom: -5.17
# E_form (uncorrected) in meV/atom: -1489
# M_tot in μB/cell: 0.0

***

Entry 3:
# As2ICl | Alexandria | GGA-PBEsol | relaxed
data_As2ICl
_chemical_formula_sum 'As8 I4 Cl4'
_cell_length_a 7.825
_cell_length_b 7.825
_cell_length_c 6.301
_cell_angle_alpha 90.00
_cell_angle_beta 90.00
_cell_angle_gamma 90.00
_space_group_name_H-M_alt 'I -4 2 d'
_space_group_IT_number 122
_space_group_name_Hall 'I -4 2bw'
loop_
_atom_site_label
_atom_site_fract_x
_atom_site_fract_y
_atom_site_fract_z
As1 0.242 0.750 0.125
I1 0.000 0.000 0.500
Cl1 0.000 0.000 0.000
# Crystal system: tetragonal
# Total DFT energy (no corrections) in eV per atom: -3.02
# E_form (uncorrected) in meV/atom: 475
# M_tot in μB/cell: 0.0

***

Entry 4:
# CuTeRh2 | Alexandria | GGA-PBEsol | relaxed
data_CuTeRh2
_chemical_formula_sum 'Cu4 Te4 Rh8'
_cell_length_a 6.221
_cell_length_b 6.221
_cell_length_c 6.221
_cell_angle_alpha 90.00
_cell_angle_beta 90.00
_cell_angle_gamma 90.00
_space_group_name_H-M_alt 'F -4 3 m'
_space_group_IT_number 216
_space_group_name_Hall 'F -4 2 3'
loop_
_atom_site_label
_atom_site_fract_x
_atom_site_fract_y
_atom_site_fract_z
Cu1 0.000 0.000 0.000
Te1 0.250 0.250 0.250
Rh1 0.000 0.000 0.500
Rh2 0.250 0.250 0.750
# Crystal system: cubic
# Total DFT energy (no corrections) in eV per atom: -5.89
# E_form (uncorrected) in meV/atom: 141
# M_tot in μB/cell: 0.0

***

Entry 5:
# Li3CuF6 | Alexandria | GGA-PBEsol | relaxed
data_Li3CuF6
_chemical_formula_sum 'Li18 Cu6 F36'
_cell_length_a 8.3558
_cell_length_b 8.3558
_cell_length_c 9.9511
_cell_angle_alpha 90.00
_cell_angle_beta 90.00
_cell_angle_gamma 120.00
_space_group_name_H-M_alt 'R -3'
_space_group_IT_number 148
_space_group_name_Hall '-R 3'
loop_
_atom_site_label
_atom_site_fract_x
_atom_site_fract_y
_atom_site_fract_z
Li1 0.0425 0.2658 0.2089
Cu1 0.0000 0.0000 0.0000
Cu2 0.0000 0.0000 0.5000
F1 0.0219 0.1874 0.8815
F2 0.0242 0.2023 0.3976
# Crystal system: trigonal
# Total DFT energy (no corrections) in eV per atom: -4.53
# E_form (uncorrected) in meV/atom: -2350
# M_tot in μB/cell: 12.0
# Energy above the lowest structure with this stoichiometry in meV per atom: 2.0

***

Entry 6:
# Cs2NaCrCl6 | Alexandria | GGA-PBEsol | relaxed
data_Cs2NaCrCl6
_chemical_formula_sum 'Cs8 Na4 Cr4 Cl24'
_cell_length_a 10.192
_cell_length_b 10.192
_cell_length_c 10.192
_cell_angle_alpha 90.00
_cell_angle_beta 90.00
_cell_angle_gamma 90.00
_space_group_name_H-M_alt 'F m -3 m'
_space_group_IT_number 225
_space_group_name_Hall '-F 4 2 3'
loop_
_atom_site_label
_atom_site_fract_x
_atom_site_fract_y
_atom_site_fract_z
Cs1 0.250 0.250 0.250
Na1 0.000 0.000 0.000
Cr1 0.000 0.000 0.500
Cl1 0.000 0.000 0.271
# Crystal system: cubic
# Total DFT energy (no corrections) in eV per atom: -4.20
# E_form (uncorrected) in meV/atom: -1641
# M_tot in μB/cell: 12.0

***

Entry 7:
# Pr3Sm | Alexandria | GGA-PBEsol | relaxed
data_Pr3Sm
_chemical_formula_sum 'Pr3 Sm1'
_cell_length_a 5.104
_cell_length_b 5.104
_cell_length_c 5.104
_cell_angle_alpha 90.00
_cell_angle_beta 90.00
_cell_angle_gamma 90.00
_space_group_name_H-M_alt 'P m -3 m'
_space_group_IT_number 221
_space_group_name_Hall '-P 4 2 3'
loop_
_atom_site_label
_atom_site_fract_x
_atom_site_fract_y
_atom_site_fract_z
Pr1 0.000 0.000 0.500
Sm1 0.500 0.500 0.500
# Crystal system: cubic
# Total DFT energy (no corrections) in eV per atom: -5.16
# Formation energy in meV per atom: 6
# M_tot in μB/cell: 0.0

***

Entry 8:
# Sr3OsC | Alexandria | GGA-PBEsol | relaxed
data_Sr3OsC
_chemical_formula_sum 'Sr3 Os1 C1'
_cell_length_a 5.574
_cell_length_b 5.574
_cell_length_c 5.574
_cell_angle_alpha 90.00
_cell_angle_beta 90.00
_cell_angle_gamma 90.00
_space_group_name_H-M_alt 'P m -3 m'
_space_group_IT_number 221
_space_group_name_Hall '-P 4 2 3'
loop_
_atom_site_label
_atom_site_fract_x
_atom_site_fract_y
_atom_site_fract_z
Sr1 0.000 0.000 0.500
Os1 0.000 0.000 0.000
C1 0.500 0.500 0.500
# Crystal system: cubic
# Total DFT energy (no corrections) in eV per atom: -3.89
# Formation energy in meV per atom: 1586
# M_tot in μB/cell: 2.0